PHWO2 | PBE+U | optimized geometry

Results
Total energy (eV per atom): -4.69

abc: 3.961 3.961 2.987
angles: 90.00 90.00 90.00
Element x y z (fractional)
P: 0.000 0.000 0.500
O: 0.000 0.500 0.000
O: 0.500 0.000 0.000
W: 0.500 0.500 0.500
H: 0.000 0.000 0.000